(1)
Tb2Si2IBr | GGA-PBE | optimized geometry

POSCAR file:
```
Tb2Si2IBr
1.0
4.094 0.000 0.000
-2.047 3.545 0.000
0.000 0.000 11.898
Tb Si I Br
2 2 1 1
direct
0.000 0.000 0.000 Tb
0.000 0.000 0.319 Tb
0.333 0.667 0.167 Si
0.667 0.333 0.152 Si
0.667 0.333 0.493 I
0.333 0.667 0.847 Br
```

Values from the calculation:
Symmetry: P3m1, No. 156
Final energy: -5.01 eV/atom

(2)
Zr4HgSbC2 | GGA-PBE | optimized geometry

POSCAR file:
```
Zr4HgSbC2
1.0
3.398 0.000 0.000
-1.699 2.943 0.000
0.000 0.000 14.566
Zr Hg Sb C
4 1 1 2
direct
0.000 0.000 0.161 Zr
0.000 0.000 0.839 Zr
0.333 0.667 0.332 Zr
0.333 0.667 0.668 Zr
0.000 0.000 0.500 Hg
0.333 0.667 0.000 Sb
0.667 0.333 0.247 C
0.667 0.333 0.753 C
```

Values from the calculation:
Symmetry: P-6m2, No. 187
Final energy: -7.82 eV/atom

(3)
Er4InB2Pb | GGA-PBE | optimized geometry

POSCAR file:
```
Er4InB2Pb
1.0
3.617 0.000 0.000
-1.809 3.133 0.000
0.000 0.000 16.702
Er In B Pb
4 1 2 1
direct
0.000 0.000 0.159 Er
0.000 0.000 0.841 Er
0.333 0.667 0.340 Er
0.333 0.667 0.660 Er
0.333 0.667 0.000 In
0.667 0.333 0.250 B
0.667 0.333 0.750 B
0.000 0.000 0.500 Pb
```

Values from the calculation:
Symmetry: P-6m2, No. 187
Final energy: -4.93 eV/atom

(4)
CsTbTe3As | GGA-PBE | optimized geometry

POSCAR file:
```
CsTbTe3As
1.0
2.346 -8.203 0.000
2.346 8.203 0.000
0.000 0.000 12.553
Cs Tb Te As
2 2 6 2
direct
0.242 0.758 0.750 Cs
0.758 0.242 0.250 Cs
0.500 0.500 0.000 Tb
0.500 0.500 0.500 Tb
0.124 0.876 0.025 Te
0.124 0.876 0.475 Te
0.491 0.509 0.250 Te
0.509 0.491 0.750 Te
0.876 0.124 0.525 Te
0.876 0.124 0.975 Te
0.076 0.924 0.250 As
0.924 0.076 0.750 As
```

Values from the calculation:
Symmetry: Cmcm, No. 63
Final energy: -4.06 eV/atom

(5)
Li2LaYIn2Cu2 | GGA-PBE | optimized geometry

POSCAR file:
```
Li2LaYIn2Cu2
1.0
4.809 0.000 0.000
0.000 4.809 0.000
0.000 0.000 6.793
Li La Y In Cu
2 1 1 2 2
direct
0.000 0.500 0.243 Li
0.500 0.000 0.757 Li
0.000 0.000 0.500 La
0.500 0.500 0.000 Y
0.000 0.000 0.000 In
0.500 0.500 0.500 In
0.000 0.500 0.761 Cu
0.500 0.000 0.239 Cu
```

Values from the calculation:
Symmetry: P-4m2, No. 115
Final energy: -3.86 eV/atom

(6)
PmHo2Co9 | GGA-PBE | optimized geometry

POSCAR file:
```
PmHo2Co9
1.0
2.494 1.440 8.063
-2.494 1.440 8.063
0.000 -2.880 8.063
Pm Ho Co
1 2 9
direct
0.000 0.000 0.000 Pm
0.140 0.140 0.140 Ho
0.860 0.860 0.860 Ho
0.078 0.584 0.584 Co
0.335 0.335 0.335 Co
0.416 0.416 0.922 Co
0.416 0.922 0.416 Co
0.500 0.500 0.500 Co
0.584 0.078 0.584 Co
0.584 0.584 0.078 Co
0.665 0.665 0.665 Co
0.922 0.416 0.416 Co
```

Values from the calculation:
Energy of formation from the pure elements: -0.158 eV per atom
Symmetry: R-3m, No. 166
Final energy: -6.65 eV/atom

(7)
ZrF2 | GGA-PBE | optimized geometry

POSCAR file:
```
ZrF2
1.0
1.525 0.880 4.826
-1.525 0.880 4.826
0.000 -1.760 4.826
Zr F
1 2
direct
0.000 0.000 0.000 Zr
0.571 0.571 0.571 F
0.763 0.763 0.763 F
```

Values from the calculation:
Symmetry: R3m, No. 160
Final energy: -6.89 eV/atom

(8)
HfTl2W | GGA-PBE | optimized geometry

POSCAR file:
```
HfTl2W
1.0
0.000 3.502 3.502
3.502 0.000 3.502
3.502 3.502 0.000
Hf Tl W
1 2 1
direct
0.000 0.000 0.000 Hf
0.250 0.250 0.250 Tl
0.500 0.500 0.500 Tl
0.750 0.750 0.750 W
```

Values from the calculation:
Symmetry: F-43m, No. 216
Final energy: -5.98 eV/atom